# 1
A plane-wave DFT calculation with PBE was carried out for a geometry-optimized InTePd2 structure.

abc: 4.623 4.623 5.120
angles: 63.16 63.16 60.00
Element x y z (fractional)
Pd1 0.726 0.726 0.822
Pd2 0.274 0.274 0.178
In1 0.000 0.000 0.000
Te1 0.500 0.500 0.500

Properties
The value obtained for the energy relative to the elements, uncorrected is -257.3 meV per atom.



# 2
A plane-wave DFT calculation with PBE was carried out for a geometry-optimized SrCa2Cu2 structure.

abc: 4.787 4.787 7.179
angles: 70.53 70.53 90.00
Element x y z (fractional)
Sr1 0.000 0.000 0.000
Cu1 0.403 0.403 0.195
Cu2 0.597 0.597 0.805
Ca1 0.750 0.250 0.500
Ca2 0.250 0.750 0.500

Properties
For the formation enthalpy at 0 K, the calculation gives -0.4 kJ per mole of atoms.



# 3
A plane-wave DFT calculation with PBE was carried out for a geometry-optimized NaIn2NiBi structure.

abc: 4.962 4.962 5.485
angles: 90.00 90.00 90.00
Element x y z (fractional)
Ni1 0.000 0.000 0.000
Na1 0.500 0.500 0.500
In1 0.000 0.500 0.000
In2 0.500 0.000 0.000
Bi1 0.000 0.000 0.500

Properties
For the formation enthalpy at 0 K, the calculation gives -3.0 kJ per mole of atoms.



# 4
A plane-wave DFT calculation with PBE was carried out for a geometry-optimized Pa2GaRhN5 structure.

abc: 3.324 7.155 9.368
angles: 90.00 90.00 103.43
Element x y z (fractional)
Pa1 0.872 0.744 0.207
Pa2 0.128 0.256 0.707
Pa3 0.132 0.265 0.292
Pa4 0.868 0.735 0.792
N1 0.927 0.854 0.543
N2 0.073 0.146 0.043
N3 0.294 0.588 0.352
N4 0.706 0.412 0.852
N5 0.712 0.425 0.157
N6 0.377 0.753 0.014
N7 0.502 0.004 0.772
N8 0.623 0.247 0.514
N9 0.498 0.996 0.272
N10 0.288 0.575 0.657
Rh1 0.779 0.558 0.505
Rh2 0.221 0.442 0.005
Ga1 0.522 0.044 0.982
Ga2 0.478 0.956 0.482

Properties
The value obtained for the energy relative to the elements, uncorrected is -828.4 meV per atom.



Here are the calculated raw total energy numbers, same order: -4.3237; -2.7793; -3.3228; -8.7170 (eV/atom).